(1)
An optimized crystal structure of CoOs5, computed with PBEsol.

**Calculated formation energy**: 68 meV/atom
**Electronic total energy**: -11.402 eV per atom
**Magnetization**: 0.7 Bohr magnetons per cell
**SG**: Cm

Cell and atoms, written as POSCAR:
```
CoOs5
1.0
-0.620 -0.939 -2.469
0.549 -4.084 2.906
-6.009 1.607 0.898
Os Co
5 1
direct
0.335 0.670 0.670 Os
0.666 0.331 0.332 Os
0.721 0.442 0.945 Os
0.389 0.779 0.272 Os
0.056 0.111 0.615 Os
0.000 0.000 0.000 Co
```

(2)
An optimized crystal structure of Zn2RuW, computed with PBEsol.

**Calculated formation energy**: 268 meV/atom
**Electronic total energy**: -6.518 eV per atom
**Magnetization**: 0.0 Bohr magnetons per cell
**SG**: P4/mmm

Cell and atoms, written as POSCAR:
```
Zn2RuW
1.0
3.689 0.000 0.000
0.000 3.689 0.000
0.000 0.000 4.121
Ru Zn W
1 2 1
direct
0.500 0.500 0.500 Ru
0.000 0.500 0.000 Zn
0.500 0.000 0.000 Zn
0.000 0.000 0.500 W
```

(3)
An optimized crystal structure of SrZr2Sb, computed with PBEsol.

**Electronic total energy**: -6.427 eV per atom
**Formation energy without anion corrections**: -1.13 eV per formula unit
**Magnetization**: 0.0 Bohr magnetons per cell
**SG**: P4mm

Cell and atoms, written as POSCAR:
```
SrZr2Sb
1.0
-3.251 0.626 -1.638
-1.275 -3.212 1.303
-2.602 3.700 6.577
Zr Sb Sr
2 1 1
direct
0.500 0.500 0.267 Zr
0.000 0.000 0.061 Zr
0.000 0.000 0.444 Sb
0.500 0.500 0.728 Sr
```

(4)
An optimized crystal structure of LiTc3Ni, computed with PBEsol.

**Calculated formation energy**: 1594 meV/atom
**Electronic total energy**: -6.791 eV per atom
**Magnetization**: 0.0 Bohr magnetons per cell
**SG**: Pm-3m

Cell and atoms, written as POSCAR:
```
LiTc3Ni
1.0
-1.382 -2.496 3.326
4.155 -0.678 1.217
-0.179 3.538 2.580
Tc Ni Li
3 1 1
direct
0.500 0.000 0.000 Tc
0.000 0.500 0.000 Tc
0.000 0.000 0.500 Tc
0.000 0.000 0.000 Ni
0.500 0.500 0.500 Li
```

(5)
An optimized crystal structure of Mg2In, computed with PBEsol.

**Calculated formation energy**: -115 meV/atom
**Electronic total energy**: -2.254 eV per atom
**Magnetization**: 0.0 Bohr magnetons per cell
**SG**: P-62m

Cell and atoms, written as POSCAR:
```
Mg2In
1.0
-1.584 0.355 -2.997
-7.136 -2.303 3.499
2.130 7.994 -0.178
Mg In
6 3
direct
0.000 0.000 0.292 Mg
0.500 0.369 0.369 Mg
0.500 0.631 0.000 Mg
0.000 0.292 0.000 Mg
0.500 0.000 0.631 Mg
0.000 0.708 0.708 Mg
0.000 0.667 0.333 In
0.500 0.000 0.000 In
0.000 0.333 0.667 In
```

(6)
An optimized crystal structure of NbVF6, computed with PBEsol.

**Electronic total energy**: -6.755 eV per atom
**Formation energy without anion corrections**: -22.02 eV per formula unit
**Magnetization**: 4.0 Bohr magnetons per cell
**SG**: R-3

Cell and atoms, written as POSCAR:
```
NbVF6
1.0
5.278 0.000 0.000
2.639 4.571 0.000
2.639 1.524 4.709
F V Nb
6 1 1
direct
0.860 0.648 0.245 F
0.352 0.752 0.755 F
0.140 0.352 0.755 F
0.752 0.140 0.755 F
0.648 0.248 0.245 F
0.248 0.860 0.245 F
0.000 0.000 0.000 V
0.500 0.500 0.500 Nb
```

(7)
An optimized crystal structure of FeP3Rh, computed with PBEsol.

**Calculated formation energy**: 510 meV/atom
**Electronic total energy**: -6.385 eV per atom
**Magnetization**: 0.0 Bohr magnetons per cell
**SG**: Pm-3m

Cell and atoms, written as POSCAR:
```
FeP3Rh
1.0
4.207 0.000 0.000
0.000 4.207 0.000
0.000 0.000 4.207
P Rh Fe
3 1 1
direct
0.000 0.500 0.000 P
0.500 0.000 0.000 P
0.000 0.000 0.500 P
0.500 0.500 0.500 Rh
0.000 0.000 0.000 Fe
```

(8)
An optimized crystal structure of LiBe3As, computed with PBEsol.

**Calculated formation energy**: 851 meV/atom
**Electronic total energy**: -2.963 eV per atom
**Magnetization**: 0.0 Bohr magnetons per cell
**SG**: Pm-3m

Cell and atoms, written as POSCAR:
```
LiBe3As
1.0
-3.768 -2.080 0.221
0.128 -0.684 -4.253
2.087 -3.712 0.660
Be As Li
3 1 1
direct
0.000 0.000 0.500 Be
0.500 0.000 0.000 Be
0.000 0.500 0.000 Be
0.000 0.000 0.000 As
0.500 0.500 0.500 Li
```

(9)
An optimized crystal structure of Cd2FeSb, computed with PBEsol.

**Electronic total energy**: -3.802 eV per atom
**Formation energy without anion corrections**: 0.71 eV per formula unit
**Magnetization**: 1.4 Bohr magnetons per cell
**SG**: Immm

Cell and atoms, written as POSCAR:
```
Cd2FeSb
1.0
-1.552 1.638 1.841
0.426 -2.877 2.920
6.027 3.502 -0.338
Cd Sb Fe
2 1 1
direct
0.313 0.313 0.626 Cd
0.687 0.687 0.374 Cd
0.500 0.000 0.000 Sb
0.000 0.500 0.000 Fe
```

(10)
An optimized crystal structure of SrY2As, computed with PBEsol.

**Calculated formation energy**: -22 meV/atom
**Electronic total energy**: -5.170 eV per atom
**Magnetization**: 0.0 Bohr magnetons per cell
**SG**: F-43m

Cell and atoms, written as POSCAR:
```
SrY2As
1.0
5.362 0.000 0.000
2.681 4.644 0.000
2.681 1.548 4.378
As Y Sr
1 2 1
direct
0.500 0.500 0.500 As
0.000 0.000 0.000 Y
0.750 0.750 0.750 Y
0.250 0.250 0.250 Sr
```

(11)
An optimized crystal structure of LiTi2F, computed with PBEsol.

**Electronic total energy**: -5.367 eV per atom
**Formation energy without anion corrections**: -0.93 eV per formula unit
**Magnetization**: 0.0 Bohr magnetons per cell
**SG**: I-42d

Cell and atoms, written as POSCAR:
```
LiTi2F
1.0
-4.166 0.714 2.669
-2.136 -3.896 -2.293
5.086 -1.777 3.731
Li Ti F
2 4 2
direct
0.750 0.250 0.500 Li
0.500 0.500 0.000 Li
0.002 0.375 0.250 Ti
0.125 0.998 0.750 Ti
0.248 0.875 0.250 Ti
0.625 0.752 0.750 Ti
0.250 0.750 0.500 F
0.000 0.000 0.000 F
```

(12)
An optimized crystal structure of TlRe2Cl, computed with PBEsol.

**Electronic total energy**: -6.419 eV per atom
**Formation energy without anion corrections**: 5.63 eV per formula unit
**Magnetization**: 0.0 Bohr magnetons per cell
**SG**: Pmmm

Cell and atoms, written as POSCAR:
```
TlRe2Cl
1.0
2.816 0.000 0.000
0.000 3.843 0.000
0.000 0.000 6.350
Cl Re Tl
1 2 1
direct
0.500 0.500 0.500 Cl
0.000 0.000 0.691 Re
0.000 0.000 0.309 Re
0.500 0.500 0.000 Tl
```

(13)
An optimized crystal structure of Sr2CdRh, computed with PBEsol.

**Calculated formation energy**: -147 meV/atom
**Electronic total energy**: -3.401 eV per atom
**Magnetization**: 0.0 Bohr magnetons per cell
**SG**: P4/mmm

Cell and atoms, written as POSCAR:
```
Sr2CdRh
1.0
-2.372 0.269 -2.756
-2.467 -1.859 1.937
-2.748 6.803 3.028
Sr Cd Rh
2 1 1
direct
0.000 0.000 0.784 Sr
0.000 0.000 0.216 Sr
0.500 0.500 0.500 Cd
0.500 0.500 0.000 Rh
```

(14)
An optimized crystal structure of MgW2Br, computed with PBEsol.

**Electronic total energy**: -6.716 eV per atom
**Formation energy without anion corrections**: 4.34 eV per formula unit
**Magnetization**: 0.0 Bohr magnetons per cell
**SG**: Pmmm

Cell and atoms, written as POSCAR:
```
MgW2Br
1.0
-2.021 1.958 0.526
-3.168 -2.742 -1.963
-0.958 -2.246 4.682
W Mg Br
2 1 1
direct
0.000 0.000 0.735 W
0.000 0.000 0.265 W
0.500 0.500 0.500 Mg
0.500 0.500 0.000 Br
```

(15)
An optimized crystal structure of RbInSb2I, computed with PBEsol.

**Electronic total energy**: -2.094 eV per atom
**Formation energy without anion corrections**: 4.42 eV per formula unit
**Magnetization**: 2.5 Bohr magnetons per cell
**SG**: P4/mmm

Cell and atoms, written as POSCAR:
```
RbInSb2I
1.0
-3.715 1.668 -4.594
3.004 -3.774 -3.798
-4.029 -4.750 1.533
Rb Sb I In
1 2 1 1
direct
0.000 0.000 0.000 Rb
0.000 0.500 0.000 Sb
0.500 0.000 0.000 Sb
0.000 0.000 0.500 I
0.500 0.500 0.500 In
```

(16)
An optimized crystal structure of MnHO2, computed with PBEsol.

**Electronic total energy**: -7.200 eV per atom
**Magnetization**: 32.0 Bohr magnetons per cell
**SG**: P2_12_12_1

Cell and atoms, written as POSCAR:
```
MnHO2
1.0
5.866 0.000 0.000
0.000 5.869 0.000
0.000 0.000 8.856
O H Mn
16 8 8
direct
0.300 0.782 0.218 O
0.533 0.550 0.031 O
0.469 0.539 0.469 O
0.031 0.461 0.969 O
0.800 0.718 0.782 O
0.967 0.450 0.531 O
0.289 0.720 0.781 O
0.789 0.780 0.219 O
0.700 0.282 0.282 O
0.467 0.050 0.469 O
0.531 0.039 0.031 O
0.200 0.218 0.718 O
0.211 0.280 0.281 O
0.969 0.961 0.531 O
0.711 0.220 0.719 O
0.033 0.950 0.969 O
0.548 0.197 0.994 H
0.448 0.705 0.744 H
0.048 0.303 0.006 H
0.552 0.205 0.756 H
0.452 0.697 0.506 H
0.052 0.295 0.244 H
0.948 0.795 0.256 H
0.952 0.803 0.494 H
0.501 0.033 0.249 Mn
0.717 0.249 0.501 Mn
0.999 0.967 0.749 Mn
0.283 0.749 0.999 Mn
0.499 0.533 0.251 Mn
0.783 0.751 0.001 Mn
0.001 0.467 0.751 Mn
0.217 0.251 0.499 Mn
```

(17)
An optimized crystal structure of Hf2Bi2Se, computed with PBEsol.

**Electronic total energy**: -6.446 eV per atom
**Formation energy without anion corrections**: 1.20 eV per formula unit
**Magnetization**: 0.0 Bohr magnetons per cell
**SG**: I4/mmm

Cell and atoms, written as POSCAR:
```
Hf2Bi2Se
1.0
-0.460 4.220 -0.824
-0.609 -0.884 -4.189
-6.381 -2.203 3.625
Hf Se Bi
2 1 2
direct
0.600 0.600 0.200 Hf
0.400 0.400 0.800 Hf
0.000 0.000 0.000 Se
0.250 0.750 0.500 Bi
0.750 0.250 0.500 Bi
```

(18)
An optimized crystal structure of ZnCl2, computed with PBEsol.

**Electronic total energy**: -2.975 eV per atom
**Formation energy without anion corrections**: -3.33 eV per formula unit
**Magnetization**: 0.0 Bohr magnetons per cell
**SG**: I-42d

Cell and atoms, written as POSCAR:
```
ZnCl2
1.0
5.524 0.000 0.000
-2.762 5.691 0.030
0.000 2.656 4.844
Cl Zn
4 2
direct
0.875 0.250 0.640 Cl
0.110 0.750 0.875 Cl
0.640 0.750 0.375 Cl
0.375 0.250 0.110 Cl
0.750 0.500 0.750 Zn
0.000 0.000 0.000 Zn
```

(19)
An optimized crystal structure of MgMnRu, computed with PBEsol.

**Calculated formation energy**: 715 meV/atom
**Electronic total energy**: -6.502 eV per atom
**Magnetization**: 0.5 Bohr magnetons per cell
**SG**: F-43m

Cell and atoms, written as POSCAR:
```
MgMnRu
1.0
4.045 0.000 0.000
2.022 3.503 0.000
2.022 1.168 3.302
Ru Mg Mn
1 1 1
direct
0.250 0.250 0.250 Ru
0.000 0.000 0.000 Mg
0.500 0.500 0.500 Mn
```

(20)
An optimized crystal structure of RuF6, computed with PBEsol.

**Electronic total energy**: -4.697 eV per atom
**Formation energy without anion corrections**: -11.14 eV per formula unit
**Magnetization**: 8.0 Bohr magnetons per cell
**SG**: Pnma

Cell and atoms, written as POSCAR:
```
RuF6
1.0
-4.364 -1.997 1.219
0.161 -4.719 -7.154
4.386 -6.789 4.577
F Ru
24 4
direct
0.219 0.750 0.486 F
0.266 0.099 0.012 F
0.281 0.750 0.986 F
0.934 0.401 0.741 F
0.613 0.750 0.260 F
0.234 0.099 0.512 F
0.719 0.250 0.014 F
0.434 0.599 0.759 F
0.734 0.599 0.988 F
0.434 0.901 0.759 F
0.266 0.401 0.012 F
0.066 0.599 0.259 F
0.387 0.250 0.740 F
0.566 0.099 0.241 F
0.066 0.901 0.259 F
0.887 0.750 0.760 F
0.766 0.599 0.488 F
0.766 0.901 0.488 F
0.781 0.250 0.514 F
0.734 0.901 0.988 F
0.566 0.401 0.241 F
0.934 0.099 0.741 F
0.234 0.401 0.512 F
0.113 0.250 0.240 F
0.084 0.250 0.627 Ru
0.416 0.250 0.127 Ru
0.584 0.750 0.873 Ru
0.916 0.750 0.373 Ru
```